No. 1
Material: SrMnIn2
Method: DFT, PBEsol
State: optimized geometry

```
SrMnIn2
1.0
4.586 0.000 0.000
0.000 4.586 0.000
0.000 0.000 4.688
Sr Mn In
1 1 2
direct
0.000 0.000 0.000
0.500 0.500 0.000
0.000 0.500 0.500
0.500 0.000 0.500
```

Properties
Density of states at the Fermi level   1.99 states/eV/f.u.
SG   No. 123
Formation energy from the elements   0.1380 eV per atom
M_tot   4.146 μB per cell

***

No. 2
Material: TaMnIn
Method: DFT, PBEsol
State: optimized geometry

```
TaMnIn
1.0
0.000 3.126 3.126
3.126 0.000 3.126
3.126 3.126 0.000
Ta Mn In
1 1 1
direct
0.000 0.000 0.000
0.250 0.250 0.250
0.750 0.750 0.750
```

Properties
Density of states at the Fermi level   5.29 states/eV/f.u.
SG   No. 216
Formation energy from the elements   1.0713 eV per atom
M_tot   1.707 μB per cell

***

- What is the formula in the second record?
  TaMnIn

***

- The highest density of states at the Fermi level belongs to which entry?
  TaMnIn

***

- Which value of formation energy from the elements does entry 2 give?
  1.0713 eV per atom

***

- density of states at the Fermi level of number 1 (SrMnIn2)?
  1.99 states/eV/f.u.